# Be4Ir2Pt PBE relaxed
data_Be4Ir2Pt
_chemical_formula_sum 'Be4 Ir2 Pt1'
_symmetry_space_group_name_H-M 'P 1'
_symmetry_Int_Tables_number 1
_cell_length_a 4.786
_cell_length_b 4.786
_cell_length_c 4.786
_cell_angle_alpha 108.90
_cell_angle_beta 109.76
_cell_angle_gamma 109.76
loop_
_symmetry_equiv_pos_as_xyz
'x,y,z'
loop_
_atom_site_label
_atom_site_fract_x
_atom_site_fract_y
_atom_site_fract_z
Be1 0.500 0.000 0.000
Be2 0.500 0.500 0.500
Be3 0.000 0.000 0.500
Be4 0.000 0.500 0.000
Ir1 0.500 0.500 0.000
Ir2 0.500 0.000 0.500
Pt1 0.000 0.000 0.000
# DFT formation energy   -0.530 eV/atom
# Total moment   0.00 μB/atom

***

# V2MoS4 PBE relaxed
data_V2MoS4
_chemical_formula_sum 'V4 Mo2 S8'
_symmetry_space_group_name_H-M 'P 1'
_symmetry_Int_Tables_number 1
_cell_length_a 3.204
_cell_length_b 5.743
_cell_length_c 12.092
_cell_angle_alpha 90.00
_cell_angle_beta 90.00
_cell_angle_gamma 106.20
loop_
_symmetry_equiv_pos_as_xyz
'x,y,z'
loop_
_atom_site_label
_atom_site_fract_x
_atom_site_fract_y
_atom_site_fract_z
V1 0.152 0.304 0.429
V2 0.848 0.696 0.929
V3 0.152 0.304 0.071
V4 0.848 0.696 0.571
Mo1 0.632 0.265 0.750
Mo2 0.368 0.735 0.250
S1 0.797 0.594 0.114
S2 0.797 0.594 0.386
S3 0.203 0.406 0.886
S4 0.203 0.406 0.614
S5 0.956 0.912 0.750
S6 0.044 0.088 0.250
S7 0.500 0.000 0.000
S8 0.500 0.000 0.500
# Relative energy among the computed polymorphs   245 kJ/mol of formula units
# Energy relative to the elements, uncorrected   -0.518 eV/atom
# Total moment   0.00 μB/atom

***

# NiBPd2Pb PBE relaxed
data_NiBPd2Pb
_chemical_formula_sum 'Ni1 B1 Pd2 Pb1'
_symmetry_space_group_name_H-M 'P 1'
_symmetry_Int_Tables_number 1
_cell_length_a 4.323
_cell_length_b 4.323
_cell_length_c 4.024
_cell_angle_alpha 90.00
_cell_angle_beta 90.00
_cell_angle_gamma 90.00
loop_
_symmetry_equiv_pos_as_xyz
'x,y,z'
loop_
_atom_site_label
_atom_site_fract_x
_atom_site_fract_y
_atom_site_fract_z
Pb1 0.500 0.500 0.500
Ni1 0.000 0.000 0.500
B1 0.000 0.000 0.000
Pd1 0.000 0.500 0.000
Pd2 0.500 0.000 0.000
# DFT formation energy   -0.055 eV/atom
# Total moment   0.00 μB/atom

***

# Li2CuTc PBE relaxed
data_Li2CuTc
_chemical_formula_sum 'Li2 Cu1 Tc1'
_symmetry_space_group_name_H-M 'P 1'
_symmetry_Int_Tables_number 1
_cell_length_a 4.528
_cell_length_b 2.436
_cell_length_c 4.861
_cell_angle_alpha 86.99
_cell_angle_beta 90.00
_cell_angle_gamma 90.00
loop_
_symmetry_equiv_pos_as_xyz
'x,y,z'
loop_
_atom_site_label
_atom_site_fract_x
_atom_site_fract_y
_atom_site_fract_z
Cu1 0.500 0.750 0.750
Li1 0.000 0.904 0.006
Li2 0.000 0.596 0.494
Tc1 0.500 0.250 0.250
# Relative energy among the computed polymorphs   28 kJ/mol of formula units
# DFT formation energy   0.190 eV/atom
# Total moment   0.05 μB/atom